Version A
VASP calculation (GGA-PBE) on a geometry-optimized TiCdPS2 structure.

Results
magnetization	0.000	μB per formula unit

POSCAR file:
```
TiCdPS2
1.0
4.670 0.000 0.000
0.000 4.670 0.000
0.000 0.000 4.884
S Ti P Cd
2 1 1 1
Direct
0.000 0.500 0.000
0.500 0.000 0.000
0.000 0.000 0.000
0.000 0.000 0.500
0.500 0.500 0.500
```

***

Version B
VASP calculation (GGA-PBE) on a geometry-optimized TiCdPS2 structure.

Results
magnetization	0.064	μB per formula unit

POSCAR file:
```
TiCdPS2
1.0
4.880 0.000 0.000
0.000 4.880 0.000
0.000 0.000 4.866
S Ti Cd P
2 1 1 1
Direct
0.500 0.000 0.000
0.000 0.500 0.000
0.500 0.500 0.500
0.000 0.000 0.000
0.000 0.000 0.500
```

***

version A is the most stable structure; the next one sits 1080 meV/atom above it.

***

Version A
VASP calculation (GGA-PBE) on a geometry-optimized TiCdP2S structure.

Results
magnetization	0.000	μB per formula unit

POSCAR file:
```
TiCdP2S
1.0
4.790 0.000 0.000
0.000 4.790 0.000
0.000 0.000 4.630
Ti S Cd P
1 1 1 2
Direct
0.000 0.000 0.000
0.000 0.000 0.500
0.500 0.500 0.500
0.500 0.000 0.000
0.000 0.500 0.000
```

***

Version B
VASP calculation (GGA-PBE) on a geometry-optimized TiCdP2S structure.

Results
magnetization	0.019	μB per formula unit

POSCAR file:
```
TiCdP2S
1.0
4.846 0.000 0.000
0.000 4.846 0.000
0.000 0.000 4.887
P Cd S Ti
2 1 1 1
Direct
0.500 0.000 0.000
0.000 0.500 0.000
0.000 0.000 0.000
0.000 0.000 0.500
0.500 0.500 0.500
```

***

version A is the most stable structure; the next one sits 1048 meV/atom above it.

***

Version A
VASP calculation (GGA-PBE) on a geometry-optimized YCdPS2 structure.

Results
magnetization	1.368	μB per formula unit

POSCAR file:
```
YCdPS2
1.0
5.186 0.000 0.000
0.000 5.186 0.000
0.000 0.000 5.464
P Cd S Y
1 1 2 1
Direct
0.000 0.000 0.500
0.500 0.500 0.500
0.500 0.000 0.000
0.000 0.500 0.000
0.000 0.000 0.000
```

***

Version B
VASP calculation (GGA-PBE) on a geometry-optimized YCdPS2 structure.

Results
magnetization	0.000	μB per formula unit

POSCAR file:
```
YCdPS2
1.0
-3.617 2.477 -2.238
-3.311 -3.080 1.943
-0.420 2.912 3.901
S Y Cd P
2 1 1 1
Direct
0.500 0.000 0.000
0.000 0.500 0.000
0.500 0.500 0.500
0.000 0.000 0.000
0.000 0.000 0.500
```

***

version A is the most stable structure; the next one sits 27 meV/atom above it.

***

Version A
VASP calculation (GGA-PBE) on a geometry-optimized ZnCdP2S structure.

Results
magnetization	1.847	μB per formula unit

POSCAR file:
```
ZnCdP2S
1.0
5.012 0.000 0.000
0.000 5.012 0.000
0.000 0.000 4.998
P Zn S Cd
2 1 1 1
Direct
0.500 0.000 0.000
0.000 0.500 0.000
0.500 0.500 0.500
0.000 0.000 0.500
0.000 0.000 0.000
```

***

Version B
VASP calculation (GGA-PBE) on a geometry-optimized ZnCdP2S structure.

Results
magnetization	0.787	μB per formula unit

POSCAR file:
```
ZnCdP2S
1.0
4.604 0.000 0.000
0.000 4.604 0.000
0.000 0.000 4.862
P Cd S Zn
2 1 1 1
Direct
0.000 0.500 0.000
0.500 0.000 0.000
0.500 0.500 0.500
0.000 0.000 0.500
0.000 0.000 0.000
```

***

version B is the most stable structure; the next one sits 428 meV/atom above it.

***

Version A
VASP calculation (GGA-PBE) on a geometry-optimized Cd2SbP structure.

Results
magnetization	0.000	μB per formula unit

POSCAR file:
```
Cd2SbP
1.0
-2.568 -5.843 -0.550
1.998 -5.275 3.036
-1.958 6.075 0.548
Sb P Cd
1 1 2
Direct
0.303 0.803 0.500
0.478 0.478 0.000
0.700 0.200 0.500
0.020 0.020 0.000
```

***

Version B
VASP calculation (GGA-PBE) on a geometry-optimized Cd2SbP structure.

Results
magnetization	0.000	μB per formula unit

POSCAR file:
```
Cd2SbP
1.0
-2.452 2.618 -2.187
-1.156 -3.171 -2.500
-3.939 -1.052 3.157
Sb Cd P
1 2 1
Direct
0.000 0.500 0.500
0.000 0.000 0.000
0.500 0.500 0.000
0.500 0.000 0.500
```

***

version A is the most stable structure; the next one sits 138 meV/atom above it.

***

Version A
VASP calculation (GGA-PBE) on a geometry-optimized Cd2SbP structure.

Results
magnetization	0.000	μB per formula unit

POSCAR file:
```
Cd2SbP
1.0
7.897 0.046 0.028
6.959 3.732 0.028
6.959 1.770 3.286
P Cd Sb
1 2 1
Direct
0.250 0.250 0.250
0.514 0.514 0.514
0.986 0.986 0.986
0.750 0.750 0.750
```

***

Version B
VASP calculation (GGA-PBE) on a geometry-optimized Cd2SbP structure.

Results
magnetization	0.000	μB per formula unit

POSCAR file:
```
Cd2SbP
1.0
3.433 -0.062 0.000
-0.923 3.307 0.000
0.000 0.000 8.235
P Cd Sb
1 2 1
Direct
0.500 0.500 0.250
0.000 0.000 0.466
0.000 0.000 0.034
0.500 0.500 0.750
```

***

version A is the most stable structure; the next one sits 124 meV/atom above it.

***

Version A
VASP calculation (GGA-PBE) on a geometry-optimized Cd2SbP structure.

Results
magnetization	0.000	μB per formula unit

POSCAR file:
```
Cd2SbP
1.0
5.397 -0.111 0.000
1.644 5.142 0.000
-3.521 -2.516 3.228
Cd P Sb
2 1 1
Direct
0.250 0.750 0.500
0.000 0.000 0.000
0.500 0.500 0.000
0.750 0.250 0.500
```

***

Version B
VASP calculation (GGA-PBE) on a geometry-optimized Cd2SbP structure.

Results
magnetization	0.000	μB per formula unit

POSCAR file:
```
Cd2SbP
1.0
3.494 0.000 0.000
0.000 3.494 0.000
0.000 0.000 7.568
Cd Sb P
2 1 1
Direct
0.000 0.000 0.016
0.500 0.500 0.264
0.500 0.500 0.694
0.000 0.000 0.526
```

***

version B is the most stable structure; the next one sits 122 meV/atom above it.